# TaAs

A relaxed structure of TaAs (GGA-PBE, OQMD via LeMat-Bulk).

Results
The spin magnetization comes out at 0.000 μB per atom. As for the space-group type: No. 51. The uncorrected energy is -66.84 eV/cell.

abc: 5.378 4.551 6.853
angles: 90.00 90.00 90.00
Sites, in units of the cell vectors:
Ta 0.500 0.500 0.500
Ta 0.000 0.500 0.500
Ta 0.250 0.000 0.686
Ta 0.750 0.000 0.314
As 0.750 0.000 0.704
As 0.250 0.000 0.296
As 0.750 0.500 0.141
As 0.250 0.500 0.859